(1)
# Hf4TlSe8

Crystalline Hf4TlSe8 at its relaxed geometry (PBE, the Open Quantum Materials Database).

Results
Crystal system: trigonal
Size of the total moment (μB per atom): 0.001
Space group: No. 166
Final energy (eV per cell): -86.56

Cell and atoms, written as POSCAR:
```
Hf4TlSe8
1.0
3.7495 2.1647 8.1686
-3.7495 2.1647 8.1686
0.0000 -4.3295 8.1686
Hf Tl Se
4 1 8
Cartesian
0.0000 0.0000 0.0000
-1.8747 -1.0824 8.1686
-1.8747 1.0824 16.3372
0.0000 2.1647 8.1686
0.0000 0.0000 12.2529
0.0000 -2.1767 9.7654
-1.8850 1.0883 9.7654
-1.8851 -1.0883 14.7405
0.0000 0.0000 6.5848
0.0000 0.0000 17.9210
1.8851 1.0883 9.7654
1.8851 -1.0883 14.7405
0.0000 2.1767 14.7405
```

=====

(2)
# Hf9W4Se

Crystalline Hf9W4Se at its relaxed geometry (PBE, the Open Quantum Materials Database).

Results
Crystal system: hexagonal
Size of the total moment (μB per atom): 0.000
Space group: No. 194
Final energy (eV per cell): -296.72

Cell and atoms, written as POSCAR:
```
Hf9W4Se
1.0
8.7306 0.0000 0.0000
-4.3653 7.5609 0.0000
0.0000 0.0000 8.6518
Hf W Se
18 8 2
Cartesian
-1.6122 4.1098 2.1629
0.0000 2.9286 4.7408
0.0000 2.9286 8.2369
-1.8290 6.0966 4.7408
-1.8290 6.0966 8.2369
2.5362 1.4643 0.4149
2.5362 1.4643 3.9110
1.6122 4.1098 2.1629
0.0000 6.9022 2.1629
4.3653 0.6586 6.4888
2.7530 3.4511 6.4888
1.8290 6.0966 4.7408
1.8290 6.0966 8.2369
6.1943 1.4643 0.4149
6.1943 1.4643 3.9110
4.3653 4.6323 0.4149
4.3653 4.6323 3.9110
5.9775 3.4511 6.4888
0.0000 0.0000 0.0000
0.0000 0.0000 4.3259
0.0000 1.6686 2.1629
-2.9202 6.7266 2.1629
1.4451 0.8343 6.4888
2.9202 6.7266 2.1629
7.2855 0.8343 6.4888
4.3653 5.8923 6.4888
0.0000 5.0406 6.4888
4.3653 2.5203 2.1629
```

=====

(3)
# Hf2Si

Crystalline Hf2Si at its relaxed geometry (PBE, the Open Quantum Materials Database).

Results
Crystal system: cubic
Size of the total moment (μB per atom): 0.000
Space group: No. 227
Final energy (eV per cell): -47.44

Cell and atoms, written as POSCAR:
```
Hf2Si
1.0
0.0000 3.9626 3.9626
3.9626 0.0000 3.9626
3.9626 3.9626 0.0000
Hf Si
4 2
Cartesian
0.0000 0.0000 0.0000
1.9813 1.9813 0.0000
1.9813 0.0000 1.9813
0.0000 1.9813 1.9813
2.9720 2.9720 2.9720
4.9533 4.9533 4.9533
```

=====

(4)
# Hf2Si

Crystalline Hf2Si at its relaxed geometry (PBE, the Open Quantum Materials Database).

Results
Crystal system: tetragonal
Size of the total moment (μB per atom): 0.001
Space group: No. 141
Final energy (eV per cell): -100.39

Cell and atoms, written as POSCAR:
```
Hf2Si
1.0
3.4022 0.0000 0.0000
0.0000 3.4022 0.0000
0.0000 0.0000 21.6151
Hf Si
8 4
Cartesian
0.0000 0.8506 6.6914
0.0000 0.8506 9.5199
0.0000 2.5517 12.0952
0.0000 2.5517 14.9237
1.7011 0.8506 1.2876
1.7011 0.8506 4.1162
1.7011 2.5517 17.4989
1.7011 2.5517 20.3275
0.0000 0.8506 18.9132
0.0000 2.5517 2.7019
1.7011 0.8506 13.5094
1.7011 2.5517 8.1057
```